Record 1
Entry from Alexandria via LeMat-Bulk: a geometry-optimized NdMgGe4 structure (PBE).

a b c (Å): 5.644 5.644 5.644
angles (deg): 60.00 60.00 60.00
Positions (direct):
Ge 0.624 0.624 0.128
Ge 0.624 0.128 0.624
Ge 0.624 0.624 0.624
Ge 0.128 0.624 0.624
Nd 0.000 0.000 0.000
Mg 0.250 0.250 0.250

Values from the calculation:
Crystal system: cubic
Total moment, μB/atom: 0.000
Calculated formation energy, eV per formula unit: -1.32
N(E_F), states/eV/cell: 3.35
Electronic total energy, eV/atom: -4.358

Record 2
Entry from Alexandria via LeMat-Bulk: a geometry-optimized Cu2S2Cl structure (PBE).

a b c (Å): 3.937 6.407 8.189
angles (deg): 90.00 90.03 90.00
Positions (direct):
Cu 0.618 0.250 0.992
Cu 0.617 0.250 0.506
Cu 0.379 0.750 0.492
Cu 0.378 0.750 0.006
S 0.888 0.750 0.374
S 0.887 0.750 0.125
S 0.109 0.250 0.874
S 0.109 0.250 0.625
Cl 0.419 0.250 0.249
Cl 0.577 0.750 0.749

Values from the calculation:
Crystal system: orthorhombic
Total moment, μB/atom: 0.000
Formation energy (no corrections), meV/atom: -158
Excess energy over the best structure of this formula in the dataset, eV per atom: 0.000
N(E_F), states/eV/cell: 6.37
Electronic total energy, eV/atom: -3.816

> Number 2 is which compound?

Cu2S2Cl

> Among the records above, which one has the highest electronic total energy?

Cu2S2Cl

> Look up the N(E_F) of the second one.

6.37 states/eV/cell